1.
The following is a PBE calculation of a geometry-optimized BaInP2Se structure, from the Alexandria database.

a b c (Å): 5.6076 5.6076 7.3609
angles (deg): 90.00 90.00 90.00
Last column: nearest neighbours and their distance in Å.
Space group P4/mmm (No. 123)
Asymmetric unit:
Ba  0.0000  0.0000  0.0000 (multiplicity 1)  4 P 2.80
In  0.0000  0.0000  0.5000 (multiplicity 1)  2 Ba 3.68, 4 Se 3.97
P  0.0000  0.5000  0.0000 (multiplicity 2)  2 Ba 2.80
Se  0.5000  0.5000  0.5000 (multiplicity 1)  4 In 3.97

Properties
Energy relative to the elements, uncorrected ... 1192 meV/atom


2.
The following is a PBE calculation of a geometry-optimized Dy11Ni4Hg9 structure, from the Alexandria database.

a b c (Å): 14.3853 21.6164 3.5809
angles (deg): 90.00 90.00 90.00
Last column: nearest neighbours and their distance in Å.
Space group Cmmm (No. 65)
Asymmetric unit:
Dy  0.0000  0.0000  0.0000 (multiplicity 2)  8 Hg 3.17
Dy  0.0000  0.1653  0.0000 (multiplicity 4)  8 Hg 3.17-3.40
Dy  0.0000  0.3732  0.0000 (multiplicity 4)  4 Ni 2.86
Dy  0.1924  0.5000  0.0000 (multiplicity 4)  4 Ni 2.86
Dy  0.2491  0.1674  0.0000 (multiplicity 8)  2 Ni 2.74
Ni  0.1490  0.4008  0.5000 (multiplicity 8)  6 Dy 2.74-2.86, 3 Hg 3.01-3.04
Hg  0.0000  0.5000  0.5000 (multiplicity 2)  4 Ni 3.03, 8 Dy 3.27-3.30
Hg  0.1071  0.2630  0.5000 (multiplicity 8)  1 Ni 3.04, 1 Hg 3.08, 6 Dy 3.12-3.36
Hg  0.1452  0.0728  0.5000 (multiplicity 8)  1 Ni 3.01, 6 Dy 3.10-3.34, 1 Hg 3.15

Properties
DFT formation energy ... -0.492 eV/atom


3.
The following is a PBE calculation of a geometry-optimized AgHgMo structure, from the Alexandria database.

a b c (Å): 2.7957 4.3878 8.9802
angles (deg): 90.00 90.00 90.00
Last column: nearest neighbours and their distance in Å.
Space group Imm2 (No. 44)
Asymmetric unit:
Ag  0.0000  0.0000  0.0000 (multiplicity 2)  2 Ag 2.80, 5 Hg 2.95-3.02, 5 Mo 2.98-3.03
Hg  0.0000  0.0000  0.6718 (multiplicity 2)  2 Hg 2.80, 5 Ag 2.95-3.02, 5 Mo 3.00
Mo  0.0000  0.0000  0.3373 (multiplicity 2)  2 Mo 2.80, 5 Ag 2.98-3.03, 5 Hg 3.00

Properties
Energy above the lowest structure with this stoichiometry ... 0.221 eV per atom
DFT formation energy ... 0.713 eV/atom


4.
The following is a PBE calculation of a geometry-optimized Nb6PtRh12 structure, from the Alexandria database.

a b c (Å): 9.6444 9.6444 11.3192
angles (deg): 90.00 90.00 120.00
Last column: nearest neighbours and their distance in Å.
Space group R-3 (No. 148, hexagonal axes)
Asymmetric unit:
Nb  0.0211  0.5956  0.2263 (multiplicity 18)  7 Rh 2.61-2.88, 1 Pt 2.82
Pt  0.0000  0.0000  0.5000 (multiplicity 3)  6 Rh 2.62, 6 Nb 2.82
Rh  0.0406  0.8566  0.3174 (multiplicity 18)  1 Pt 2.62, 3 Nb 2.64-2.77, 4 Rh 2.66-2.80
Rh  0.0586  0.1987  0.9058 (multiplicity 18)  4 Nb 2.61-2.88, 4 Rh 2.66-2.89

Properties
DFT formation energy ... -0.292 eV/atom


5.
The following is a PBE calculation of a geometry-optimized Cd2SnAs2 structure, from the Alexandria database.

a b c (Å): 4.2724 4.2724 13.3579
angles (deg): 90.00 90.00 90.00
Last column: nearest neighbours and their distance in Å.
Space group I4/mmm (No. 139)
Asymmetric unit:
Cd  0.0000  0.5000  0.2500 (multiplicity 4)  4 As 2.86, 4 Cd 3.02
Sn  0.0000  0.0000  0.0000 (multiplicity 2)  8 As 3.35
As  0.0000  0.0000  0.3925 (multiplicity 4)  4 Cd 2.86, 1 As 2.87

Properties
Energy above the lowest structure with this stoichiometry ... 0.009 eV per atom
DFT formation energy ... 0.108 eV/atom


6.
The following is a PBE calculation of a geometry-optimized CaIn6Br8 structure, from the Alexandria database.

a b c (Å): 11.6090 11.6090 13.7871
angles (deg): 90.00 90.00 120.00
Last column: nearest neighbours and their distance in Å.
Space group R-3 (No. 148, hexagonal axes)
Asymmetric unit:
Ca  0.0000  0.0000  0.0000 (multiplicity 3)  8 Br 2.96-3.29
In  0.0117  0.8188  0.6117 (multiplicity 18)  3 Br 2.93-3.24
Br  0.0000  0.0000  0.2144 (multiplicity 6)  1 Ca 2.96, 3 In 3.24
Br  0.0285  0.7452  0.0713 (multiplicity 18)  2 In 2.93-3.00

Properties
Energy relative to the elements, uncorrected ... -839 meV/atom


7.
The following is a PBE calculation of a geometry-optimized Ca2Sc structure, from the Alexandria database.

a b c (Å): 13.1113 3.8309 8.8482
angles (deg): 90.00 110.60 90.00
Last column: nearest neighbours and their distance in Å.
Space group Cm (No. 8)
Asymmetric unit:
Ca  0.0000  0.0000  0.0000 (multiplicity 2)  4 Sc 3.77, 8 Ca 3.83-3.88
Ca  0.9997  0.0000  0.4987 (multiplicity 2)  4 Sc 3.44, 6 Ca 3.53-3.83
Ca  0.1840  0.5000  0.8126 (multiplicity 2)  3 Sc 3.47-3.86, 9 Ca 3.54-3.88
Ca  0.3152  0.0000  0.1853 (multiplicity 2)  3 Sc 3.47-3.88, 9 Ca 3.53-3.88
Sc  0.1713  0.5000  0.3697 (multiplicity 2)  2 Sc 3.15, 4 Ca 3.44-3.47
Sc  0.3295  0.0000  0.6305 (multiplicity 2)  2 Sc 3.15, 4 Ca 3.44-3.47

Properties
Energy above the lowest structure with this stoichiometry ... 0.032 eV per atom
DFT formation energy ... 0.178 eV/atom


8.
The following is a PBE calculation of a geometry-optimized Pm3Ge3Ir2 structure, from the Alexandria database.

a b c (Å): 4.3778 10.8266 14.6104
angles (deg): 90.00 90.00 90.00
Last column: nearest neighbours and their distance in Å.
Space group Cmcm (No. 63)
Asymmetric unit:
Pm  0.0000  0.0835  0.1099 (multiplicity 8)  4 Ir 3.08-3.35, 7 Ge 3.09-3.37
Pm  0.0000  0.3589  0.2500 (multiplicity 4)  5 Ge 3.06-3.27, 4 Ir 3.14
Ge  0.0000  0.3389  0.7500 (multiplicity 4)  2 Ir 2.63
Ge  0.0000  0.3699  0.0353 (multiplicity 8)  3 Ir 2.52-2.72
Ir  0.0000  0.2010  0.6022 (multiplicity 8)  4 Ge 2.52-2.72

Properties
Energy above the lowest structure with this stoichiometry ... 0.000 eV per atom
DFT formation energy ... -0.862 eV/atom


| no. | total energy (eV per formula unit) |
| --- | --- |
| 1 | -13.01 |
| 2 | -88.27 |
| 3 | -11.85 |
| 4 | -160.22 |
| 5 | -14.59 |
| 6 | -44.41 |
| 7 | -9.80 |
| 8 | -52.73 |